TaTl2Cu2O6 | PBE-GGA | optimized geometry

a b c (Å): 5.549 5.549 7.359
angles (deg): 90.00 90.00 120.00
Sites, in units of the cell vectors:
Ta 0.000 0.000 0.000
Tl 0.333 0.667 0.355
Tl 0.667 0.333 0.645
Cu 0.333 0.667 0.853
Cu 0.667 0.333 0.147
O 0.037 0.310 0.840
O 0.273 0.963 0.840
O 0.310 0.273 0.160
O 0.690 0.727 0.840
O 0.727 0.037 0.160
O 0.963 0.690 0.160

Summary:
* formation energy from raw total energies: -1.17 eV per atom
* theoretical density: 6.9 Mg/m³
* volume: 17.84 Å³/atom
* crystal system: trigonal

---

Ac8CoRh3Cl3 | PBE-GGA | optimized geometry

a b c (Å): 8.611 8.611 9.312
angles (deg): 117.52 117.52 60.02
Sites, in units of the cell vectors:
Ac 0.231 0.231 0.702
Ac 0.231 0.741 0.703
Ac 0.259 0.769 0.297
Ac 0.264 0.264 0.294
Ac 0.736 0.736 0.706
Ac 0.741 0.231 0.703
Ac 0.769 0.259 0.297
Ac 0.769 0.769 0.298
Co 0.000 0.000 0.500
Rh 0.000 0.500 0.500
Rh 0.500 0.000 0.500
Rh 0.500 0.500 0.500
Cl 0.000 0.000 0.000
Cl 0.000 0.500 0.000
Cl 0.500 0.000 0.000

Summary:
* formation energy from raw total energies: -1.00 eV per atom
* theoretical density: 7.5 Mg/m³
* volume: 33.72 Å³/atom
* crystal system: monoclinic

---

Which of these has the highest formation energy from raw total energies? Ac8CoRh3Cl3

---

What is the volume in the second record? 33.72 Å³/atom

---

Copy entry 2 word for word.
Ac8CoRh3Cl3 | PBE-GGA | optimized geometry

a b c (Å): 8.611 8.611 9.312
angles (deg): 117.52 117.52 60.02
Sites, in units of the cell vectors:
Ac 0.231 0.231 0.702
Ac 0.231 0.741 0.703
Ac 0.259 0.769 0.297
Ac 0.264 0.264 0.294
Ac 0.736 0.736 0.706
Ac 0.741 0.231 0.703
Ac 0.769 0.259 0.297
Ac 0.769 0.769 0.298
Co 0.000 0.000 0.500
Rh 0.000 0.500 0.500
Rh 0.500 0.000 0.500
Rh 0.500 0.500 0.500
Cl 0.000 0.000 0.000
Cl 0.000 0.500 0.000
Cl 0.500 0.000 0.000

Summary:
* formation energy from raw total energies: -1.00 eV per atom
* theoretical density: 7.5 Mg/m³
* volume: 33.72 Å³/atom
* crystal system: monoclinic